## P
The following is a SCAN calculation of a crystal of Cr2TcMo relaxed with PBEsol, from Alexandria via LeMat-Bulk.

Space group = P4mm
Crystal system = tetragonal
DOS(E_F) = 3.6 states/eV per cell

```
Cr2TcMo
1.0
2.934 0.000 0.000
0.000 2.934 0.000
0.000 0.000 6.002
Cr Tc Mo
2 1 1
Direct
0.000 0.000 0.000
0.500 0.500 0.223
0.500 0.500 0.753
0.000 0.000 0.471
```

## Q
The following is a SCAN calculation of a crystal of Cr2TcMo relaxed with PBEsol, from Alexandria via LeMat-Bulk.

Space group = P2/m
Crystal system = monoclinic
DOS(E_F) = 3.7 states/eV per cell

```
Cr2TcMo
1.0
2.598 0.000 0.000
0.000 4.126 0.000
-0.867 0.000 4.868
Cr Tc Mo
2 1 1
Direct
0.237 0.000 0.246
0.763 0.000 0.754
0.500 0.500 0.000
0.000 0.500 0.500
```

Short version: Q is the least stable of them.

## P
The following is a SCAN calculation of a crystal of Fe2AsBr relaxed with PBEsol, from Alexandria via LeMat-Bulk.

Space group = P4mm
Crystal system = tetragonal
DOS(E_F) = 2.4 states/eV per cell

```
Fe2AsBr
1.0
3.139 0.000 0.000
0.000 3.139 0.000
0.000 0.000 6.926
Fe As Br
2 1 1
Direct
0.000 0.000 0.000
0.500 0.500 0.180
0.000 0.000 0.354
0.500 0.500 0.788
```

## Q
The following is a SCAN calculation of a crystal of Fe2AsBr relaxed with PBEsol, from Alexandria via LeMat-Bulk.

Space group = F-43m
Crystal system = cubic
DOS(E_F) = 8.5 states/eV per cell

```
Fe2AsBr
1.0
6.330 0.000 0.000
0.000 6.330 0.000
0.000 0.000 6.330
Fe As Br
8 4 4
Direct
0.000 0.000 0.000
0.000 0.500 0.500
0.250 0.250 0.250
0.250 0.750 0.750
0.500 0.000 0.500
0.500 0.500 0.000
0.750 0.250 0.750
0.750 0.750 0.250
0.250 0.250 0.750
0.250 0.750 0.250
0.750 0.250 0.250
0.750 0.750 0.750
0.000 0.000 0.500
0.000 0.500 0.000
0.500 0.000 0.000
0.500 0.500 0.500
```

Short version: Q is the least stable of them.

## P
The following is a SCAN calculation of a crystal of BaTc2W relaxed with PBEsol, from Alexandria via LeMat-Bulk.

Space group = P4mm
Crystal system = tetragonal
DOS(E_F) = 4.0 states/eV per cell

```
BaTc2W
1.0
2.930 0.000 0.000
0.000 2.930 0.000
0.000 0.000 8.921
Ba Tc W
1 2 1
Direct
0.000 0.000 0.000
0.000 0.000 0.468
0.500 0.500 0.303
0.500 0.500 0.679
```

## Q
The following is a SCAN calculation of a crystal of BaTc2W relaxed with PBEsol, from Alexandria via LeMat-Bulk.

Space group = Pmm2
Crystal system = orthorhombic
DOS(E_F) = 3.6 states/eV per cell

```
BaTc2W
1.0
2.993 0.000 0.000
0.000 3.641 0.000
0.000 0.000 7.762
Ba Tc W
1 2 1
Direct
0.000 0.000 0.000
0.000 0.000 0.511
0.500 0.500 0.656
0.500 0.500 0.349
```

Short version: P is the least stable of them.

## P
The following is a SCAN calculation of a crystal of AgTe2Mo relaxed with PBEsol, from Alexandria via LeMat-Bulk.

Space group = P4/mmm
Crystal system = tetragonal
DOS(E_F) = 2.5 states/eV per cell

```
AgTe2Mo
1.0
4.832 0.000 0.000
0.000 4.832 0.000
0.000 0.000 3.438
Ag Te Mo
1 2 1
Direct
0.000 0.000 0.000
0.000 0.500 0.500
0.500 0.000 0.500
0.500 0.500 0.000
```

## Q
The following is a SCAN calculation of a crystal of AgTe2Mo relaxed with PBEsol, from Alexandria via LeMat-Bulk.

Space group = R-3m
Crystal system = trigonal
DOS(E_F) = 6.9 states/eV per cell

```
AgTe2Mo
1.0
3.457 0.000 0.000
-1.729 2.994 0.000
0.000 0.000 24.737
Ag Te Mo
3 6 3
Direct
0.000 0.000 0.000
0.333 0.667 0.667
0.667 0.333 0.333
0.000 0.000 0.242
0.000 0.000 0.758
0.333 0.667 0.425
0.333 0.667 0.909
0.667 0.333 0.091
0.667 0.333 0.575
0.000 0.000 0.500
0.333 0.667 0.167
0.667 0.333 0.833
```

Short version: P is the least stable of them.

## P
The following is a SCAN calculation of a crystal of Ba2SrCa relaxed with PBEsol, from Alexandria via LeMat-Bulk.

Space group = Pmmm
Crystal system = orthorhombic
DOS(E_F) = 4.3 states/eV per cell

```
Ba2SrCa
1.0
4.764 0.000 0.000
0.000 6.556 0.000
0.000 0.000 6.565
Ba Sr Ca
2 1 1
Direct
0.000 0.000 0.000
0.500 0.500 0.000
0.000 0.500 0.500
0.500 0.000 0.500
```

## Q
The following is a SCAN calculation of a crystal of Ba2SrCa relaxed with PBEsol, from Alexandria via LeMat-Bulk.

Space group = P4/mmm
Crystal system = tetragonal
DOS(E_F) = 5.3 states/eV per cell

```
Ba2SrCa
1.0
6.657 0.000 0.000
0.000 6.657 0.000
0.000 0.000 4.710
Ba Sr Ca
2 1 1
Direct
0.000 0.500 0.000
0.500 0.000 0.000
0.000 0.000 0.500
0.500 0.500 0.500
```

Short version: Q is the least stable of them.

## P
The following is a SCAN calculation of a crystal of LaYMo2 relaxed with PBEsol, from Alexandria via LeMat-Bulk.

Space group = I4/mmm
Crystal system = tetragonal
DOS(E_F) = 8.8 states/eV per cell

```
LaYMo2
1.0
4.086 0.000 0.000
0.000 4.086 0.000
0.000 0.000 9.945
La Y Mo
2 2 4
Direct
0.000 0.000 0.000
0.500 0.500 0.500
0.000 0.000 0.500
0.500 0.500 0.000
0.000 0.500 0.250
0.000 0.500 0.750
0.500 0.000 0.250
0.500 0.000 0.750
```

## Q
The following is a SCAN calculation of a crystal of LaYMo2 relaxed with PBEsol, from Alexandria via LeMat-Bulk.

Space group = Immm
Crystal system = orthorhombic
DOS(E_F) = 8.9 states/eV per cell

```
LaYMo2
1.0
3.394 0.000 0.000
0.000 5.042 0.000
0.000 0.000 9.380
La Y Mo
2 2 4
Direct
0.000 0.000 0.000
0.500 0.500 0.500
0.000 0.000 0.500
0.500 0.500 0.000
0.000 0.500 0.263
0.000 0.500 0.737
0.500 0.000 0.237
0.500 0.000 0.763
```

Short version: P is the least stable of them.

## P
The following is a SCAN calculation of a crystal of HfSc3N relaxed with PBEsol, from Alexandria via LeMat-Bulk.

Space group = Pm-3m
Crystal system = cubic
DOS(E_F) = 3.2 states/eV per cell

```
HfSc3N
1.0
4.977 0.000 0.000
0.000 4.977 0.000
0.000 0.000 4.977
Hf Sc N
1 3 1
Direct
0.000 0.000 0.000
0.000 0.000 0.500
0.000 0.500 0.000
0.500 0.000 0.000
0.500 0.500 0.500
```

## Q
The following is a SCAN calculation of a crystal of HfSc3N relaxed with PBEsol, from Alexandria via LeMat-Bulk.

Space group = Pm-3m
Crystal system = cubic
DOS(E_F) = 2.9 states/eV per cell

```
HfSc3N
1.0
4.472 0.000 0.000
0.000 4.472 0.000
0.000 0.000 4.472
Hf Sc N
1 3 1
Direct
0.000 0.000 0.000
0.000 0.500 0.500
0.500 0.000 0.500
0.500 0.500 0.000
0.500 0.500 0.500
```

Short version: P is the least stable of them.

## P
The following is a SCAN calculation of a crystal of Be2AgCl relaxed with PBEsol, from Alexandria via LeMat-Bulk.

Space group = I4/mmm
Crystal system = tetragonal
DOS(E_F) = 1.4 states/eV per cell

```
Be2AgCl
1.0
3.584 0.000 0.000
0.000 3.584 0.000
0.000 0.000 9.427
Be Ag Cl
4 2 2
Direct
0.000 0.500 0.250
0.000 0.500 0.750
0.500 0.000 0.250
0.500 0.000 0.750
0.000 0.000 0.000
0.500 0.500 0.500
0.000 0.000 0.500
0.500 0.500 0.000
```

## Q
The following is a SCAN calculation of a crystal of Be2AgCl relaxed with PBEsol, from Alexandria via LeMat-Bulk.

Space group = C2/m
Crystal system = monoclinic
DOS(E_F) = 1.7 states/eV per cell

```
Be2AgCl
1.0
8.351 0.000 0.000
0.000 2.895 0.000
-4.019 0.000 5.204
Be Ag Cl
4 2 2
Direct
0.146 0.000 0.348
0.354 0.500 0.652
0.646 0.500 0.348
0.854 0.000 0.652
0.000 0.500 0.500
0.500 0.000 0.500
0.000 0.500 0.000
0.500 0.000 0.000
```

Short version: P is the least stable of them.

## P
The following is a SCAN calculation of a crystal of KCd4 relaxed with PBEsol, from Alexandria via LeMat-Bulk.

Space group = I-43m
Crystal system = cubic
DOS(E_F) = 8.8 states/eV per cell

```
KCd4
1.0
-5.085 5.085 5.085
5.085 -5.085 5.085
5.085 5.085 -5.085
K Cd
4 16
Direct
0.000 0.000 0.430
0.000 0.430 0.000
0.430 0.000 0.000
0.570 0.570 0.570
0.000 0.000 0.791
0.000 0.352 0.352
0.000 0.648 0.648
0.000 0.791 0.000
0.209 0.209 0.209
0.250 0.500 0.750
0.250 0.750 0.500
0.352 0.000 0.352
0.352 0.352 0.000
0.500 0.250 0.750
0.500 0.750 0.250
0.648 0.000 0.648
0.648 0.648 0.000
0.750 0.250 0.500
0.750 0.500 0.250
0.791 0.000 0.000
```

## Q
The following is a SCAN calculation of a crystal of KCd4 relaxed with PBEsol, from Alexandria via LeMat-Bulk.

Space group = I4/mmm
Crystal system = tetragonal
DOS(E_F) = 3.9 states/eV per cell

```
KCd4
1.0
6.918 0.000 0.000
0.000 6.918 0.000
0.000 0.000 5.322
K Cd
2 8
Direct
0.000 0.000 0.000
0.500 0.500 0.500
0.000 0.299 0.500
0.000 0.701 0.500
0.201 0.500 0.000
0.299 0.000 0.500
0.500 0.201 0.000
0.500 0.799 0.000
0.701 0.000 0.500
0.799 0.500 0.000
```

Short version: P is the least stable of them.

## P
The following is a SCAN calculation of a crystal of In2HgBi2 relaxed with PBEsol, from Alexandria via LeMat-Bulk.

Space group = I4/mmm
Crystal system = tetragonal
DOS(E_F) = 4.0 states/eV per cell

```
In2HgBi2
1.0
4.499 0.000 0.000
0.000 4.499 0.000
0.000 0.000 15.062
In Hg Bi
4 2 4
Direct
0.000 0.500 0.250
0.000 0.500 0.750
0.500 0.000 0.250
0.500 0.000 0.750
0.000 0.000 0.000
0.500 0.500 0.500
0.000 0.000 0.388
0.000 0.000 0.612
0.500 0.500 0.112
0.500 0.500 0.888
```

## Q
The following is a SCAN calculation of a crystal of In2HgBi2 relaxed with PBEsol, from Alexandria via LeMat-Bulk.

Space group = P4/mbm
Crystal system = tetragonal
DOS(E_F) = 4.0 states/eV per cell

```
In2HgBi2
1.0
8.977 0.000 0.000
0.000 8.977 0.000
0.000 0.000 3.594
In Hg Bi
4 2 4
Direct
0.142 0.358 0.000
0.358 0.858 0.000
0.642 0.142 0.000
0.858 0.642 0.000
0.000 0.000 0.500
0.500 0.500 0.500
0.156 0.656 0.500
0.344 0.156 0.500
0.656 0.844 0.500
0.844 0.344 0.500
```

Short version: Q is the least stable of them.

## P
The following is a SCAN calculation of a crystal of MnSb2PI relaxed with PBEsol, from Alexandria via LeMat-Bulk.

Space group = P4/mmm
Crystal system = tetragonal
DOS(E_F) = 5.2 states/eV per cell

```
MnSb2PI
1.0
4.883 0.000 0.000
0.000 4.883 0.000
0.000 0.000 5.014
Mn Sb P I
1 2 1 1
Direct
0.000 0.000 0.000
0.000 0.500 0.000
0.500 0.000 0.000
0.500 0.500 0.500
0.000 0.000 0.500
```

## Q
The following is a SCAN calculation of a crystal of MnSb2PI relaxed with PBEsol, from Alexandria via LeMat-Bulk.

Space group = P4/mmm
Crystal system = tetragonal
DOS(E_F) = 3.7 states/eV per cell

```
MnSb2PI
1.0
5.169 0.000 0.000
0.000 5.169 0.000
0.000 0.000 5.294
Mn Sb P I
1 2 1 1
Direct
0.000 0.000 0.000
0.000 0.500 0.500
0.500 0.000 0.500
0.500 0.500 0.500
0.500 0.500 0.000
```

Short version: P is the least stable of them.

## P
The following is a SCAN calculation of a crystal of SrCa2Cl relaxed with PBEsol, from Alexandria via LeMat-Bulk.

Space group = P2/m
Crystal system = monoclinic
DOS(E_F) = 3.5 states/eV per cell

```
SrCa2Cl
1.0
6.546 0.000 0.000
0.000 3.862 0.000
-3.261 0.000 5.697
Sr Ca Cl
1 2 1
Direct
0.000 0.000 0.000
0.315 0.500 0.631
0.685 0.500 0.369
0.500 0.000 0.000
```

## Q
The following is a SCAN calculation of a crystal of SrCa2Cl relaxed with PBEsol, from Alexandria via LeMat-Bulk.

Space group = I4/mmm
Crystal system = tetragonal
DOS(E_F) = 6.9 states/eV per cell

```
SrCa2Cl
1.0
4.703 0.000 0.000
0.000 4.703 0.000
0.000 0.000 13.677
Sr Ca Cl
2 4 2
Direct
0.000 0.000 0.000
0.500 0.500 0.500
0.000 0.500 0.250
0.000 0.500 0.750
0.500 0.000 0.250
0.500 0.000 0.750
0.000 0.000 0.500
0.500 0.500 0.000
```

Short version: Q is the least stable of them.